A relaxed Na2Ti3Cl9 crystal. Source: Alexandria via LeMat-Bulk, functional GGA-PBE.

a b c (Å): 9.4384 9.4078 9.4078
angles (deg): 118.28 101.82 101.82
Element x y z (fractional)
Na 0.1519 0.5552 0.2256
Na 0.8481 0.7744 0.4448
Na 0.8481 0.4448 0.7744
Na 0.1519 0.2256 0.5552
Ti 0.3633 0.1572 0.1572
Ti 0.6367 0.8428 0.8428
Ti 0.6489 0.0486 0.2341
Ti 0.3511 0.7659 0.9514
Ti 0.3511 0.9514 0.7659
Ti 0.6489 0.2341 0.0486
Cl 0.5000 0.2073 0.7927
Cl 0.1647 0.4882 0.8963
Cl 0.1647 0.8963 0.4882
Cl 0.8353 0.5118 0.1037
Cl 0.7859 0.6849 0.6849
Cl 0.2141 0.3151 0.3151
Cl 0.5241 0.4218 0.2088
Cl 0.4759 0.7912 0.5782
Cl 0.4759 0.5782 0.7912
Cl 0.5241 0.2088 0.4218
Cl 0.1689 0.6856 0.6856
Cl 0.8083 0.8971 0.1030
Cl 0.8083 0.1030 0.8971
Cl 0.1917 0.1029 0.8970
Cl 0.1917 0.8970 0.1029
Cl 0.5000 0.7927 0.2073
Cl 0.8311 0.3144 0.3144
Cl 0.8353 0.1037 0.5118

Computed properties:
The formation energy (no corrections) is -1.567 eV per atom. As for the crystal system: monoclinic. The value obtained for the total energy is -64.88 eV per formula unit. The symmetry is C2/m, No. 12. Its volume is 24.09 Å³ per atom.

=====

A relaxed Sb3P crystal. Source: Alexandria via LeMat-Bulk, functional GGA-PBE.

a b c (Å): 3.8756 3.8756 7.9912
angles (deg): 90.00 90.00 120.00
Element x y z (fractional)
Sb 0.0000 0.0000 0.5000
Sb 0.6667 0.3333 0.2249
Sb 0.6667 0.3333 0.7751
P 0.0000 0.0000 0.0000

Computed properties:
The formation energy (no corrections) is 0.268 eV per atom. As for the crystal system: hexagonal. As for the excess energy over the best structure of this formula in the dataset: 160 meV/atom. The value obtained for the total energy is -16.71 eV per formula unit. The symmetry is P-6m2, No. 187. Its volume is 25.99 Å³ per atom.

=====

A relaxed Mg3Mo crystal. Source: Alexandria via LeMat-Bulk, functional GGA-PBE.

a b c (Å): 5.9281 5.9281 4.9265
angles (deg): 90.00 90.00 120.00
Element x y z (fractional)
Mg 0.8281 0.1719 0.2500
Mg 0.1719 0.8281 0.7500
Mg 0.8281 0.6562 0.2500
Mg 0.1719 0.3438 0.7500
Mg 0.3438 0.1719 0.2500
Mg 0.6562 0.8281 0.7500
Mo 0.3333 0.6667 0.2500
Mo 0.6667 0.3333 0.7500

Computed properties:
As for the crystal system: hexagonal. As for the excess energy over the best structure of this formula in the dataset: 159 meV/atom. The value obtained for the total energy is -14.19 eV per formula unit. The symmetry is P6_3/mmc, No. 194. Its volume is 18.74 Å³ per atom.

=====

A relaxed Li2FeAs crystal. Source: Alexandria via LeMat-Bulk, functional GGA-PBE.

a b c (Å): 2.7993 4.0705 4.9266
angles (deg): 90.00 90.00 90.00
Element x y z (fractional)
As 0.5000 0.5000 0.2500
Fe 0.5000 0.5000 0.7500
Li 0.0000 0.0000 0.0022
Li 0.0000 0.0000 0.4978

Computed properties:
As for the crystal system: orthorhombic. The value obtained for the total energy is -17.26 eV per formula unit. The symmetry is Pmmm, No. 47. Its volume is 14.03 Å³ per atom.